No. 1
This record from Alexandria via LeMat-Bulk describes a relaxed structure of K2Be2TeO6. The functional is GGA-PBE.

Electronic total energy (eV/cell): -62.3
Raw formation energy (eV/atom): -1.799
Space group: P-3

a b c (Å): 5.289 5.289 6.481
angles (deg): 90.00 90.00 120.00
Positions (direct):
1 K 0.667 0.333 0.636
2 K 0.333 0.667 0.364
3 Be 0.333 0.667 0.856
4 Be 0.667 0.333 0.144
5 Te 0.000 0.000 0.000
6 O 0.110 0.338 0.824
7 O 0.662 0.772 0.824
8 O 0.228 0.890 0.824
9 O 0.890 0.662 0.176
10 O 0.338 0.228 0.176
11 O 0.772 0.110 0.176

No. 2
This record from Alexandria via LeMat-Bulk describes a relaxed structure of US8Br2. The functional is GGA-PBE.

Electronic total energy (eV/cell): -50.6
Raw formation energy (eV/atom): -0.272
Space group: P-1

a b c (Å): 5.827 7.252 10.337
angles (deg): 68.08 95.14 121.48
Positions (direct):
1 U 0.000 0.000 0.000
2 S 0.006 0.664 0.263
3 S 0.010 0.934 0.274
4 S 0.994 0.336 0.737
5 S 0.300 0.422 0.028
6 S 0.990 0.066 0.726
7 S 0.413 0.012 0.907
8 S 0.587 0.988 0.093
9 S 0.700 0.578 0.972
10 Br 0.597 0.320 0.366
11 Br 0.403 0.680 0.634

No. 3
This record from Alexandria via LeMat-Bulk describes a relaxed structure of CeCdHgPd. The functional is GGA-PBE.

Electronic total energy (eV/cell): -14.0
Space group: F-43m
Calculated formation energy (eV per formula unit): -1.7

a b c (Å): 5.031 5.031 5.031
angles (deg): 60.00 60.00 60.00
Positions (direct):
1 Pd 0.000 0.000 0.000
2 Hg 0.500 0.500 0.500
3 Ce 0.250 0.250 0.250
4 Cd 0.750 0.750 0.750

No. 4
This record from Alexandria via LeMat-Bulk describes a relaxed structure of LaTcI2N. The functional is GGA-PBE.

Electronic total energy (eV/cell): -24.2
Raw formation energy (eV/atom): 0.506
Space group: P4/mmm

a b c (Å): 6.459 6.459 4.161
angles (deg): 90.00 90.00 90.00
Positions (direct):
1 I 0.000 0.500 0.000
2 I 0.500 0.000 0.000
3 N 0.000 0.000 0.500
4 Tc 0.500 0.500 0.500
5 La 0.000 0.000 0.000

No. 5
This record from Alexandria via LeMat-Bulk describes a relaxed structure of NdSm7Cd4. The functional is GGA-PBE.

Electronic total energy (eV/cell): -42.6
Space group: P-1
Calculated formation energy (eV per formula unit): -1.2

a b c (Å): 6.377 8.801 8.868
angles (deg): 76.60 48.28 86.19
Positions (direct):
1 Nd 0.000 0.000 0.000
2 Sm 0.757 0.936 0.508
3 Sm 0.243 0.064 0.492
4 Sm 0.048 0.619 0.289
5 Sm 0.952 0.381 0.711
6 Sm 0.347 0.582 0.807
7 Sm 0.500 0.000 0.000
8 Sm 0.653 0.418 0.193
9 Cd 0.559 0.273 0.618
10 Cd 0.441 0.727 0.382
11 Cd 0.837 0.718 0.819
12 Cd 0.163 0.282 0.181

No. 6
This record from Alexandria via LeMat-Bulk describes a relaxed structure of HfZnSi2Ni. The functional is GGA-PBE.

Electronic total energy (eV/cell): -26.7
Raw formation energy (eV/atom): 0.232
Space group: P4/mmm

a b c (Å): 4.352 4.438 4.352
angles (deg): 90.00 90.00 90.00
Positions (direct):
1 Ni 0.000 0.000 0.000
2 Zn 0.000 0.500 0.000
3 Hf 0.500 0.500 0.500
4 Si 0.000 0.000 0.500
5 Si 0.500 0.000 0.000

No. 7
This record from Alexandria via LeMat-Bulk describes a relaxed structure of LiDy2Pu3Se6. The functional is GGA-PBE.

Electronic total energy (eV/cell): -94.1
Raw formation energy (eV/atom): -1.589
Space group: C2/m

a b c (Å): 4.104 8.196 9.175
angles (deg): 102.52 102.92 90.00
Positions (direct):
1 Li 0.500 0.000 0.000
2 Dy 0.834 0.666 0.669
3 Dy 0.166 0.334 0.331
4 Pu 0.500 0.500 0.000
5 Pu 0.833 0.164 0.667
6 Pu 0.167 0.836 0.333
7 Se 0.336 0.913 0.672
8 Se 0.668 0.582 0.336
9 Se 0.664 0.087 0.328
10 Se 0.002 0.242 0.004
11 Se 0.998 0.758 0.996
12 Se 0.332 0.418 0.664